ThVO2 | Alexandria | GGA+U | relaxed; magnetization = 2.9 Bohr magnetons per cell; E = -32.488 eV for the cell shown
1.0
1.752 1.011 6.245
-1.752 1.011 6.245
0.000 -2.023 6.245
Th V O
1 1 2
Cartesian
0.000 0.000 0.000
0.000 0.000 9.368
0.000 0.000 2.154
0.000 0.000 16.583